Here is a geometry-optimized Al2TeW structure from Alexandria. Energies are from PBE.

Cell lengths 4.659, 4.659, 4.659 Å; angles 60.00, 60.00, 60.00 degrees
Element x y z (fractional)
Al: 0.000 0.000 0.000
Al: 0.250 0.250 0.250
W: 0.750 0.750 0.750
Te: 0.500 0.500 0.500

Summary:
M_tot, μB per cell: 0.000
Raw formation energy, eV/atom: 0.6142
Space-group type: F-43m